The following is a PBE calculation of crystalline MgGe2Pd4 at its relaxed geometry, from Alexandria.

**Spin magnetization**: 0.00 μB per cell
**Energy above the most stable polymorph in this dataset**: 0.000 eV/atom
**DFT formation energy**: -0.5388 eV per atom
**Crystal system**: orthorhombic
**Symmetry**: No. 62

Unit cell a=4.1071 b=5.9876 c=18.4949 alpha=90.00 beta=90.00 gamma=90.00
Closest atoms and distances in Å follow each position.
Positions (direct):
Pd 0.7500 0.2237 0.8202  4 Ge 2.49-2.61
Pd 0.7500 0.8471 0.4676  3 Ge 2.54-2.57, 2 Mg 2.82
Pd 0.2500 0.1529 0.5324  3 Ge 2.54-2.57, 2 Mg 2.82
Mg 0.2500 0.0027 0.3765  8 Pd 2.76-3.06, 2 Ge 3.01
Ge 0.7500 0.4752 0.7128  7 Pd 2.43-2.61
Pd 0.7500 0.2763 0.3202  4 Ge 2.49-2.61
Pd 0.2500 0.7763 0.1798  4 Ge 2.49-2.61
Pd 0.2500 0.7237 0.6798  4 Ge 2.49-2.61
Pd 0.2500 0.2633 0.1864  3 Ge 2.43-2.55
Ge 0.2500 0.7291 0.5422  7 Pd 2.54-2.60
Pd 0.2500 0.5118 0.4221  4 Ge 2.50-2.60
Ge 0.2500 0.9752 0.7872  7 Pd 2.43-2.61
Mg 0.7500 0.9973 0.6235  8 Pd 2.76-3.06, 2 Ge 3.01
Pd 0.7500 0.0118 0.0779  4 Ge 2.50-2.60
Ge 0.7500 0.2709 0.4578  7 Pd 2.54-2.60
Pd 0.2500 0.9882 0.9221  4 Ge 2.50-2.60
Ge 0.2500 0.7709 0.0422  7 Pd 2.54-2.60
Ge 0.7500 0.2291 0.9578  7 Pd 2.54-2.60
Pd 0.2500 0.2367 0.6864  3 Ge 2.43-2.55
Pd 0.7500 0.4882 0.5779  4 Ge 2.50-2.60
Mg 0.7500 0.5027 0.1235  8 Pd 2.76-3.06, 2 Ge 3.01
Pd 0.2500 0.3471 0.0324  3 Ge 2.54-2.57, 2 Mg 2.82
Mg 0.2500 0.4973 0.8765  8 Pd 2.76-3.06, 2 Ge 3.01
Pd 0.7500 0.7633 0.3136  3 Ge 2.43-2.55
Ge 0.7500 0.0248 0.2128  7 Pd 2.43-2.61
Pd 0.7500 0.6529 0.9676  3 Ge 2.54-2.57, 2 Mg 2.82
Ge 0.2500 0.5248 0.2872  7 Pd 2.43-2.61
Pd 0.7500 0.7367 0.8136  3 Ge 2.43-2.55